Arrangement a

A geometry-optimized CsUOs structure. Source: the Open Quantum Materials Database, functional PBE.

Summary:
As for the space group: F-43m (216).

abc: 4.7255 4.7255 4.7255
angles: 60.00 60.00 60.00
Each line ends with the local moment (μB).
Atoms (fractional coordinates):
Cs1 0.0000 0.0000 0.0000  0.10
Os1 0.2500 0.2500 0.2500  -0.38
U1 0.7500 0.7500 0.7500  2.55

=====

Arrangement b

A geometry-optimized CsUOs structure. Source: the Open Quantum Materials Database, functional PBE.

Summary:
As for the space group: F-43m (216).

abc: 4.9304 4.9304 4.9304
angles: 60.00 60.00 60.00
Atoms (fractional coordinates):
U1 0.7500 0.7500 0.7500
Os1 0.0000 0.0000 0.0000
Cs1 0.2500 0.2500 0.2500

=====

Out of the structures above, which one is the least stable? Solution: arrangement a.